! KBa2Mn PBEsol relaxed; values from VASP
! calculated formation energy	15.26	kcal/mol of atoms
! excess energy over the best structure of this formula in the dataset	0.0354	eV per atom
! density of states at the Fermi level	5.859	states/eV/f.u.
! total energy	-3.14	eV/atom
&SYSTEM
  ibrav = 0, nat = 4, ntyp = 3
/
ATOMIC_SPECIES
K 39.10 K.upf
Ba 137.33 Ba.upf
Mn 54.94 Mn.upf
CELL_PARAMETERS angstrom
4.3039 -4.3180 0.0000
4.3039 4.3180 0.0000
0.0000 0.0000 4.6840
ATOMIC_POSITIONS angstrom
K 0.0000 0.0000 0.0000
Ba 2.1520 2.1590 2.3420
Ba 2.1520 -2.1590 2.3420
Mn 4.3039 0.0000 0.0000

---

! Cr3Pb2 PBEsol relaxed; values from VASP
! calculated formation energy	18.62	kcal/mol of atoms
! density of states at the Fermi level	4.154	states/eV/f.u.
! total energy	-6.94	eV/atom
&SYSTEM
  ibrav = 0, nat = 5, ntyp = 2
/
ATOMIC_SPECIES
Cr 52.00 Cr.upf
Pb 207.20 Pb.upf
CELL_PARAMETERS angstrom
1.5597 0.9005 10.7446
-1.5597 0.9005 10.7446
0.0000 -1.8010 10.7446
ATOMIC_POSITIONS angstrom
Cr 0.0000 0.0000 0.0000
Cr 0.0000 0.0000 6.0675
Cr 0.0000 0.0000 26.1662
Pb 0.0000 0.0000 13.0731
Pb 0.0000 0.0000 19.1606

---

! In2PbBr PBEsol relaxed; values from VASP
! density of states at the Fermi level	1.780	states/eV/f.u.
! ΔE_f (raw)	-13.73	kJ/mol of atoms
! total energy	-3.10	eV/atom
&SYSTEM
  ibrav = 0, nat = 4, ntyp = 3
/
ATOMIC_SPECIES
In 114.82 In.upf
Pb 207.20 Pb.upf
Br 79.90 Br.upf
CELL_PARAMETERS angstrom
1.9042 -2.8807 0.0000
1.9042 2.8807 0.0000
0.0000 0.0000 9.9367
ATOMIC_POSITIONS angstrom
In 0.0000 0.0000 2.3235
In 0.0000 0.0000 7.6132
Pb 1.9042 0.0000 4.9683
Br 1.9042 0.0000 0.0000

---

! CaYMg PBEsol relaxed; values from VASP
! calculated formation energy	0.09	kcal/mol of atoms
! density of states at the Fermi level	4.185	states/eV/f.u.
! total energy	-3.55	eV/atom
&SYSTEM
  ibrav = 0, nat = 3, ntyp = 3
/
ATOMIC_SPECIES
Ca 40.08 Ca.upf
Y 88.91 Y.upf
Mg 24.30 Mg.upf
CELL_PARAMETERS angstrom
-1.8511 1.8511 6.7036
1.8511 -1.8511 6.7036
1.8511 1.8511 -6.7036
ATOMIC_POSITIONS angstrom
Ca 0.0000 0.0000 0.0000
Y 0.0000 0.0000 4.0389
Mg 0.0000 0.0000 8.8298

---

! KCrIr2 PBEsol relaxed; values from VASP
! calculated formation energy	15.12	kcal/mol of atoms
! excess energy over the best structure of this formula in the dataset	0.0000	eV per atom
! density of states at the Fermi level	3.683	states/eV/f.u.
! total energy	-7.10	eV/atom
&SYSTEM
  ibrav = 0, nat = 4, ntyp = 3
/
ATOMIC_SPECIES
K 39.10 K.upf
Cr 52.00 Cr.upf
Ir 192.22 Ir.upf
CELL_PARAMETERS angstrom
2.6330 0.0000 0.0000
0.0000 3.8580 0.0000
-1.2943 0.0000 7.4633
ATOMIC_POSITIONS angstrom
K 0.0000 0.0000 0.0000
Cr 1.3222 1.9290 4.7646
Ir 0.0100 0.0000 3.8865
Ir 1.3255 1.9290 2.4194

---

! ZnNiOs2 PBEsol relaxed; values from VASP
! calculated formation energy	2.29	kcal/mol of atoms
! density of states at the Fermi level	3.131	states/eV/f.u.
! total energy	-7.94	eV/atom
&SYSTEM
  ibrav = 0, nat = 4, ntyp = 3
/
ATOMIC_SPECIES
Zn 65.41 Zn.upf
Ni 58.69 Ni.upf
Os 190.23 Os.upf
CELL_PARAMETERS angstrom
2.7100 0.0000 0.0000
0.0000 3.7015 0.0000
0.0000 0.0000 5.2146
ATOMIC_POSITIONS angstrom
Zn 0.0000 0.0000 0.0000
Ni 1.3550 1.8507 1.1186
Os 0.0000 0.0000 2.5618
Os 1.3550 1.8507 3.7147

---

Number 3 is which compound? In2PbBr